Record 1
Tc2SnI | PBE | relaxed

* energy above the most stable polymorph in this dataset: 0 meV/atom
* uncorrected formation energy: 711 meV/atom
* DFT total energy: -23.4 eV/cell
* calculated volume: 72 Å³/cell
* space group: Fm-3m, No. 225

Cell: 4.673 4.673 4.673 Å, 60.00 60.00 60.00°
Fractional positions:
I  0.500  0.500  0.500
Sn  0.000  0.000  0.000
Tc  0.250  0.250  0.250
Tc  0.750  0.750  0.750


Record 2
Hf5CuPb3 | PBE | relaxed

* DFT total energy: -131.7 eV/cell
* calculated volume: 388 Å³/cell
* space group: P6_3/mcm, No. 193
* energy relative to the elements: -95 meV per atom

Cell: 8.728 8.728 5.874 Å, 90.00 90.00 120.00°
Fractional positions:
Hf  0.667  0.333  0.000
Hf  0.000  0.258  0.250
Hf  0.742  0.000  0.750
Hf  0.258  0.258  0.750
Hf  0.333  0.667  0.500
Hf  0.333  0.667  0.000
Hf  0.000  0.742  0.750
Hf  0.667  0.333  0.500
Hf  0.742  0.742  0.250
Hf  0.258  0.000  0.250
Cu  0.000  0.000  0.000
Cu  0.000  0.000  0.500
Pb  0.613  0.613  0.750
Pb  0.387  0.000  0.750
Pb  0.000  0.613  0.250
Pb  0.387  0.387  0.250
Pb  0.000  0.387  0.750
Pb  0.613  0.000  0.250


Record 3
AlInTc2 | PBE | relaxed

* energy above the most stable polymorph in this dataset: 104 meV/atom
* DFT total energy: -27.0 eV/cell
* calculated volume: 66 Å³/cell
* space group: R3m, No. 160
* energy relative to the elements: 47 meV per atom

Cell: 9.238 9.238 9.238 Å, 18.09 18.09 18.09°
Fractional positions:
Al  0.508  0.508  0.508
Tc  0.992  0.992  0.992
Tc  0.252  0.252  0.252
In  0.748  0.748  0.748


Record 4
KCdInGa | PBE | relaxed

* DFT total energy: -7.6 eV/cell
* calculated volume: 106 Å³/cell
* space group: F-43m, No. 216
* energy relative to the elements: 39 meV per atom

Cell: 5.318 5.318 5.318 Å, 60.00 60.00 60.00°
Fractional positions:
K  0.000  0.000  0.000
Cd  0.750  0.750  0.750
Ga  0.250  0.250  0.250
In  0.500  0.500  0.500


Record 5
Ac2CdHg4 | PBE | relaxed

* energy above the most stable polymorph in this dataset: 0 meV/atom
* DFT total energy: -12.6 eV/cell
* calculated volume: 221 Å³/cell
* space group: R-3m, No. 166
* energy relative to the elements: -327 meV per atom

Cell: 5.374 5.374 9.359 Å, 73.32 73.32 60.00°
Fractional positions:
Ac  0.747  0.747  0.758
Ac  0.253  0.253  0.242
Hg  0.873  0.873  0.382
Hg  0.127  0.127  0.618
Hg  0.621  0.621  0.136
Hg  0.379  0.379  0.864
Cd  0.000  0.000  0.000


Q: Among the records above, which one has the highest DFT total energy?
A: KCdInGa


Q: DFT total energy of number 5 (Ac2CdHg4)?
A: -12.6 eV/cell